# PBE-GGA Lu2Sb3W4N3, relaxed
data_Lu2Sb3W4N3
_cell_length_a 10.1390
_cell_length_b 5.9669
_cell_length_c 13.1993
_cell_angle_alpha 90.00
_cell_angle_beta 103.97
_cell_angle_gamma 90.00
_symmetry_space_group_name_H-M 'C 1 2/c 1'
_symmetry_Int_Tables_number 15
_symmetry_space_group_name_Hall '-C 2yc'
loop_
_atom_site_label
_atom_site_fract_x
_atom_site_fract_y
_atom_site_fract_z
_atom_site_occupancy
Lu1 0.0560 0.0846 0.4027 1
Sb1 0.0000 0.4441 0.2500 1
Sb2 0.1828 0.1097 0.7449 1
W1 0.1048 0.4344 0.5759 1
W2 0.2149 0.4144 0.9260 1
N1 0.0808 0.2426 0.0003 1
N2 0.2500 0.2500 0.5000 1
# electronic total energy	-8.369	eV/atom
# magnetization	0.0003	μB/atom
# density	12.8	g/cm³


# PBE-GGA Lu4Sb3W2N3, relaxed
data_Lu4Sb3W2N3
_cell_length_a 10.5312
_cell_length_b 6.0326
_cell_length_c 13.6356
_cell_angle_alpha 90.00
_cell_angle_beta 103.97
_cell_angle_gamma 90.00
_symmetry_space_group_name_H-M 'C 1 2/c 1'
_symmetry_Int_Tables_number 15
_symmetry_space_group_name_Hall '-C 2yc'
loop_
_atom_site_label
_atom_site_fract_x
_atom_site_fract_y
_atom_site_fract_z
_atom_site_occupancy
Lu1 0.1125 0.0915 0.0894 1
Lu2 0.2239 0.0747 0.4105 1
Sb1 0.0000 0.1158 0.7500 1
Sb2 0.1517 0.4300 0.2533 1
W1 0.0423 0.4336 0.9231 1
N1 0.0878 0.2400 0.5007 1
N2 0.2500 0.2500 0.0000 1
# electronic total energy	-7.488	eV/atom
# magnetization	0.0006	μB/atom
# density	11.7	g/cm³


# PBE-GGA Y2Lu4Sb3N3, relaxed
data_Y2Lu4Sb3N3
_cell_length_a 10.5470
_cell_length_b 6.0951
_cell_length_c 15.0073
_cell_angle_alpha 90.00
_cell_angle_beta 103.61
_cell_angle_gamma 90.00
_symmetry_space_group_name_H-M 'C 1 2/c 1'
_symmetry_Int_Tables_number 15
_symmetry_space_group_name_Hall '-C 2yc'
loop_
_atom_site_label
_atom_site_fract_x
_atom_site_fract_y
_atom_site_fract_z
_atom_site_occupancy
Y1 0.0513 0.0826 0.4075 1
Lu1 0.1116 0.4144 0.5848 1
Lu2 0.2226 0.4177 0.9152 1
Sb1 0.0000 0.4390 0.2500 1
Sb2 0.1779 0.0938 0.7506 1
N1 0.0863 0.2588 0.0000 1
N2 0.2500 0.2500 0.5000 1
# electronic total energy	-6.909	eV/atom
# magnetization	0.0005	μB/atom
# density	9.1	g/cm³


# PBE-GGA Lu2Zr4Sb3N3, relaxed
data_Lu2Zr4Sb3N3
_cell_length_a 10.3295
_cell_length_b 5.9881
_cell_length_c 14.3677
_cell_angle_alpha 90.00
_cell_angle_beta 103.89
_cell_angle_gamma 90.00
_symmetry_space_group_name_H-M 'C 1 2/c 1'
_symmetry_Int_Tables_number 15
_symmetry_space_group_name_Hall '-C 2yc'
loop_
_atom_site_label
_atom_site_fract_x
_atom_site_fract_y
_atom_site_fract_z
_atom_site_occupancy
Lu1 0.0528 0.0827 0.4099 1
Zr1 0.1116 0.4172 0.5846 1
Zr2 0.2214 0.4161 0.9154 1
Sb1 0.0000 0.4284 0.2500 1
Sb2 0.1727 0.0893 0.7502 1
N1 0.0818 0.2454 0.0000 1
N2 0.2500 0.2500 0.5000 1
# electronic total energy	-7.855	eV/atom
# magnetization	0.0001	μB/atom
# density	8.6	g/cm³


# PBE-GGA LuSc2N3, relaxed
data_LuSc2N3
_cell_length_a 3.2396
_cell_length_b 3.2396
_cell_length_c 7.9247
_cell_angle_alpha 90.00
_cell_angle_beta 90.00
_cell_angle_gamma 120.00
_symmetry_space_group_name_H-M 'P -3 m 1'
_symmetry_Int_Tables_number 164
_symmetry_space_group_name_Hall '-P 3 2"'
loop_
_atom_site_label
_atom_site_fract_x
_atom_site_fract_y
_atom_site_fract_z
_atom_site_occupancy
Lu1 0.0000 0.0000 0.0000 1
Sc1 0.3333 0.6667 0.3376 1
N1 0.0000 0.0000 0.5000 1
N2 0.3333 0.6667 0.8260 1
# electronic total energy	-8.913	eV/atom
# magnetization	0.0030	μB/atom
# density	7.1	g/cm³


# PBE-GGA Lu4Sc2Si3N3, relaxed
data_Lu4Sc2Si3N3
_cell_length_a 9.9921
_cell_length_b 5.7727
_cell_length_c 14.0805
_cell_angle_alpha 90.00
_cell_angle_beta 103.79
_cell_angle_gamma 90.00
_symmetry_space_group_name_H-M 'C 1 2/c 1'
_symmetry_Int_Tables_number 15
_symmetry_space_group_name_Hall '-C 2yc'
loop_
_atom_site_label
_atom_site_fract_x
_atom_site_fract_y
_atom_site_fract_z
_atom_site_occupancy
Lu1 0.1168 0.0804 0.0993 1
Lu2 0.2151 0.0846 0.4006 1
Sc1 0.0575 0.4155 0.9186 1
Si1 0.0000 0.1562 0.7500 1
Si2 0.1311 0.4509 0.2496 1
N1 0.0837 0.2492 0.5002 1
N2 0.2500 0.2500 0.0000 1
# electronic total energy	-7.204	eV/atom
# magnetization	0.0004	μB/atom
# density	7.7	g/cm³


# PBE-GGA Lu2Sc4Si3N3, relaxed
data_Lu2Sc4Si3N3
_cell_length_a 9.7743
_cell_length_b 5.6424
_cell_length_c 13.9301
_cell_angle_alpha 90.00
_cell_angle_beta 103.57
_cell_angle_gamma 90.00
_symmetry_space_group_name_H-M 'C 1 2/c 1'
_symmetry_Int_Tables_number 15
_symmetry_space_group_name_Hall '-C 2yc'
loop_
_atom_site_label
_atom_site_fract_x
_atom_site_fract_y
_atom_site_fract_z
_atom_site_occupancy
Lu1 0.0474 0.0826 0.3944 1
Sc1 0.1125 0.4150 0.5873 1
Sc2 0.2220 0.4177 0.9127 1
Si1 0.0000 0.4968 0.7500 1
Si2 0.2088 0.1272 0.7501 1
N1 0.0826 0.2478 0.0000 1
N2 0.2500 0.2500 0.5000 1
# electronic total energy	-7.529	eV/atom
# magnetization	0.0008	μB/atom
# density	5.8	g/cm³


# PBE-GGA Lu2Sc4Sn3N3, relaxed
data_Lu2Sc4Sn3N3
_cell_length_a 10.0348
_cell_length_b 5.7941
_cell_length_c 14.9750
_cell_angle_alpha 90.00
_cell_angle_beta 102.89
_cell_angle_gamma 90.00
_symmetry_space_group_name_H-M 'C 1 2/c 1'
_symmetry_Int_Tables_number 15
_symmetry_space_group_name_Hall '-C 2yc'
loop_
_atom_site_label
_atom_site_fract_x
_atom_site_fract_y
_atom_site_fract_z
_atom_site_occupancy
Lu1 0.0541 0.0832 0.4124 1
Sc1 0.1103 0.4166 0.5808 1
Sc2 0.2231 0.4167 0.9192 1
Sn1 0.0000 0.4379 0.2500 1
Sn2 0.1774 0.0943 0.7499 1
N1 0.0839 0.2519 0.0000 1
N2 0.2500 0.2500 0.5000 1
# electronic total energy	-7.206	eV/atom
# magnetization	0.0001	μB/atom
# density	7.3	g/cm³


# PBE-GGA Lu4Sc2Sn3N3, relaxed
data_Lu4Sc2Sn3N3
_cell_length_a 10.1827
_cell_length_b 5.8784
_cell_length_c 15.1581
_cell_angle_alpha 90.00
_cell_angle_beta 102.93
_cell_angle_gamma 90.00
_symmetry_space_group_name_H-M 'C 1 2/c 1'
_symmetry_Int_Tables_number 15
_symmetry_space_group_name_Hall '-C 2yc'
loop_
_atom_site_label
_atom_site_fract_x
_atom_site_fract_y
_atom_site_fract_z
_atom_site_occupancy
Lu1 0.1119 0.0836 0.0858 1
Lu2 0.2215 0.0832 0.4142 1
Sc1 0.0563 0.4168 0.9196 1
Sn1 0.0000 0.0993 0.7500 1
Sn2 0.1584 0.4253 0.2500 1
N1 0.0827 0.2521 0.5000 1
N2 0.2500 0.2500 0.0000 1
# electronic total energy	-6.877	eV/atom
# magnetization	0.0002	μB/atom
# density	8.9	g/cm³


# PBE-GGA Lu4Sc2Tl3N3, relaxed
data_Lu4Sc2Tl3N3
_cell_length_a 10.1826
_cell_length_b 5.8770
_cell_length_c 15.4954
_cell_angle_alpha 90.00
_cell_angle_beta 102.70
_cell_angle_gamma 90.00
_symmetry_space_group_name_H-M 'C 1 2/c 1'
_symmetry_Int_Tables_number 15
_symmetry_space_group_name_Hall '-C 2yc'
loop_
_atom_site_label
_atom_site_fract_x
_atom_site_fract_y
_atom_site_fract_z
_atom_site_occupancy
Lu1 0.1121 0.0834 0.0853 1
Lu2 0.2213 0.0836 0.4147 1
Sc1 0.0570 0.4167 0.9217 1
Tl1 0.0000 0.1002 0.7500 1
Tl2 0.1574 0.4270 0.2496 1
N1 0.0828 0.2513 0.5000 1
N2 0.2500 0.2500 0.0000 1
# electronic total energy	-6.303	eV/atom
# magnetization	0.0005	μB/atom
# density	10.6	g/cm³


# PBE-GGA Lu2Sc4Tl3N3, relaxed
data_Lu2Sc4Tl3N3
_cell_length_a 10.0395
_cell_length_b 5.7960
_cell_length_c 15.3259
_cell_angle_alpha 90.00
_cell_angle_beta 102.61
_cell_angle_gamma 90.00
_symmetry_space_group_name_H-M 'C 1 2/c 1'
_symmetry_Int_Tables_number 15
_symmetry_space_group_name_Hall '-C 2yc'
loop_
_atom_site_label
_atom_site_fract_x
_atom_site_fract_y
_atom_site_fract_z
_atom_site_occupancy
Lu1 0.0541 0.0833 0.4127 1
Sc1 0.1098 0.4166 0.5790 1
Sc2 0.2236 0.4166 0.9210 1
Tl1 0.0000 0.4406 0.2500 1
Tl2 0.1785 0.0951 0.7497 1
N1 0.0836 0.2509 0.0000 1
N2 0.2500 0.2500 0.5000 1
# electronic total energy	-6.631	eV/atom
# magnetization	0.0005	μB/atom
# density	9.0	g/cm³


# PBE-GGA Lu2Sc4Zn3N3, relaxed
data_Lu2Sc4Zn3N3
_cell_length_a 9.6927
_cell_length_b 5.5969
_cell_length_c 14.6428
_cell_angle_alpha 90.00
_cell_angle_beta 102.95
_cell_angle_gamma 90.00
_symmetry_space_group_name_H-M 'C 1 2/c 1'
_symmetry_Int_Tables_number 15
_symmetry_space_group_name_Hall '-C 2yc'
loop_
_atom_site_label
_atom_site_fract_x
_atom_site_fract_y
_atom_site_fract_z
_atom_site_occupancy
Lu1 0.0452 0.0818 0.3932 1
Sc1 0.1108 0.4119 0.5815 1
Sc2 0.2248 0.4184 0.9185 1
Zn1 0.0000 0.4379 0.7500 1
Zn2 0.2382 0.1535 0.7499 1
N1 0.0823 0.2467 0.0000 1
N2 0.2500 0.2500 0.5000 1
# electronic total energy	-6.302	eV/atom
# magnetization	0.0832	μB/atom
# density	6.6	g/cm³